Compound: La4Sm3Ho5
Source: Alexandria via LeMat-Bulk
Functional: PBE
Structure: relaxed Values from VASP.

Cell and atoms, written as Quantum ESPRESSO input:
```
&SYSTEM
  ibrav = 0, nat = 12, ntyp = 3
/
ATOMIC_SPECIES
Ho 164.93 Ho.upf
La 138.91 La.upf
Sm 150.36 Sm.upf
CELL_PARAMETERS angstrom
-5.887 1.213 0.557
-3.453 -4.695 6.440
-0.912 9.273 2.867
ATOMIC_POSITIONS angstrom
Ho -2.567 2.020 1.178
Ho -2.936 -0.792 3.408
Ho -7.685 3.771 8.686
Ho -7.317 6.583 6.456
Ho -5.126 2.896 4.932
La -8.536 0.082 7.733
La -4.357 5.320 7.776
La -1.716 5.709 2.131
La -5.895 0.472 2.089
Sm -5.706 -0.173 5.490
Sm -2.183 2.289 4.654
Sm -4.546 5.965 4.375
```

Values from the calculation:
Total moment: 0.37 Bohr magnetons per cell
E_form: 20.7 kJ/mol of atoms